(1)
! BeReC2 (PBE-GGA, optimized geometry); values from VASP
&SYSTEM
  ibrav = 0, nat = 8, ntyp = 3
/
ATOMIC_SPECIES
C 12.01 C.upf
Be 9.01 Be.upf
Re 186.21 Re.upf
ATOMIC_POSITIONS angstrom
C 2.258 -4.305 3.177
C 3.709 -7.043 3.075
C 2.871 -2.087 1.068
C 0.133 -3.534 0.948
Be 1.523 -2.758 -0.102
Be 3.622 -3.483 2.129
Re 0.863 -5.002 2.005
Re 0.000 0.000 0.000
CELL_PARAMETERS angstrom
-1.237 -4.277 -0.226
4.282 -1.239 0.021
1.440 -2.968 4.338
! Formation enthalpy at 0 K in meV/atom: 668

(2)
! Be2ReC (PBE-GGA, optimized geometry); values from VASP
&SYSTEM
  ibrav = 0, nat = 8, ntyp = 3
/
ATOMIC_SPECIES
C 12.01 C.upf
Be 9.01 Be.upf
Re 186.21 Re.upf
ATOMIC_POSITIONS angstrom
C -4.944 -4.709 -0.667
C -3.200 -2.253 -1.757
Be -5.969 -3.376 -1.476
Be -3.410 -3.654 -0.543
Be -3.634 -0.504 -2.242
Be -8.762 -4.594 -3.367
Re 0.000 0.000 0.000
Re -5.943 -1.355 -3.148
CELL_PARAMETERS angstrom
-4.198 1.101 -4.238
-2.201 -5.606 0.724
-4.488 -1.559 -0.300
! Formation enthalpy at 0 K in meV/atom: 394

(3)
! BeRe3C (PBE-GGA, optimized geometry); values from VASP
&SYSTEM
  ibrav = 0, nat = 5, ntyp = 3
/
ATOMIC_SPECIES
Re 186.21 Re.upf
Be 9.01 Be.upf
C 12.01 C.upf
ATOMIC_POSITIONS angstrom
Re 1.458 -1.288 0.530
Re -1.002 -1.502 -0.895
Re -0.966 -0.384 1.727
Be -0.511 -3.174 1.361
C 0.000 0.000 0.000
CELL_PARAMETERS angstrom
-1.933 -0.768 3.453
-2.004 -3.005 -1.790
2.915 -2.575 1.059
! Energy above the most stable polymorph in this dataset in kJ/mol of atoms: 0.0
! Formation enthalpy at 0 K in meV/atom: 485

(4)
! BeReSb2C (PBE-GGA, optimized geometry); values from VASP
&SYSTEM
  ibrav = 0, nat = 5, ntyp = 4
/
ATOMIC_SPECIES
Be 9.01 Be.upf
Re 186.21 Re.upf
Sb 121.76 Sb.upf
C 12.01 C.upf
ATOMIC_POSITIONS angstrom
Be 0.000 1.624 0.000
Re 2.430 1.624 2.430
Sb 0.000 0.000 2.430
Sb 2.430 0.000 0.000
C 0.000 0.000 0.000
CELL_PARAMETERS angstrom
4.861 0.000 0.000
0.000 3.248 0.000
0.000 0.000 4.861
! Uncorrected formation energy in eV/atom: 0.811

(5)
! UBeReC (PBE-GGA, optimized geometry); values from VASP
&SYSTEM
  ibrav = 0, nat = 8, ntyp = 4
/
ATOMIC_SPECIES
C 12.01 C.upf
U 238.03 U.upf
Be 9.01 Be.upf
Re 186.21 Re.upf
ATOMIC_POSITIONS angstrom
C -0.677 -1.906 0.299
C -7.368 -0.875 2.595
U -5.953 -2.722 3.684
U -2.092 -0.058 -0.791
Be -2.101 -2.126 1.212
Be -5.944 -0.654 1.681
Re -4.447 -2.224 0.584
Re -3.598 -0.557 2.309
CELL_PARAMETERS angstrom
-1.964 0.227 -3.006
0.267 -3.560 -0.443
-7.196 -1.114 4.618
! Formation enthalpy at 0 K in meV/atom: -71

(6)
! BeRhC2 (PBE-GGA, optimized geometry); values from VASP
&SYSTEM
  ibrav = 0, nat = 8, ntyp = 3
/
ATOMIC_SPECIES
C 12.01 C.upf
Be 9.01 Be.upf
Rh 102.91 Rh.upf
ATOMIC_POSITIONS angstrom
C -2.875 0.068 -2.220
C -0.493 -1.511 -3.342
C -4.500 -2.251 -6.829
C -3.329 -2.494 -4.002
Be -1.563 -2.359 -4.636
Be -1.137 0.207 -2.928
Rh 0.000 0.000 0.000
Rh -4.036 -0.735 -3.561
CELL_PARAMETERS angstrom
-3.610 1.832 -1.852
1.335 -1.417 -4.003
-3.324 -3.509 -2.341
! Formation enthalpy at 0 K in meV/atom: 920

(7)
! Be2RhC (PBE-GGA, optimized geometry); values from VASP
&SYSTEM
  ibrav = 0, nat = 8, ntyp = 3
/
ATOMIC_SPECIES
Rh 102.91 Rh.upf
C 12.01 C.upf
Be 9.01 Be.upf
ATOMIC_POSITIONS angstrom
Rh 0.000 0.000 0.000
Rh 6.011 3.006 1.065
C 3.006 3.006 0.000
C 3.006 6.011 1.065
Be 2.222 4.508 0.533
Be 7.514 6.794 1.598
Be 3.789 1.503 0.533
Be 4.508 5.228 1.598
CELL_PARAMETERS angstrom
6.011 0.000 0.000
0.000 6.011 0.000
3.006 3.006 2.131
! Formation enthalpy at 0 K in meV/atom: 240

(8)
! BeRuRh2C (PBE-GGA, optimized geometry); values from VASP
&SYSTEM
  ibrav = 0, nat = 5, ntyp = 4
/
ATOMIC_SPECIES
Be 9.01 Be.upf
Rh 102.91 Rh.upf
Ru 101.07 Ru.upf
C 12.01 C.upf
ATOMIC_POSITIONS angstrom
Be 1.620 -0.997 -0.750
Rh -0.977 -0.003 -2.106
Rh -1.026 -2.027 0.478
Ru 0.000 0.000 0.000
C -0.382 -3.027 -2.378
CELL_PARAMETERS angstrom
-1.953 -0.006 -4.212
3.241 -1.994 -1.500
-2.051 -4.054 0.957
! Formation enthalpy at 0 K in meV/atom: 2327

(9)
! BeSn2RhC (PBE-GGA, optimized geometry); values from VASP
&SYSTEM
  ibrav = 0, nat = 5, ntyp = 4
/
ATOMIC_SPECIES
Sn 118.71 Sn.upf
C 12.01 C.upf
Rh 102.91 Rh.upf
Be 9.01 Be.upf
ATOMIC_POSITIONS angstrom
Sn -0.857 -1.082 2.155
Sn 0.542 -2.315 -0.947
C 1.433 0.085 0.613
Rh 1.117 -3.313 1.820
Be 0.000 0.000 0.000
CELL_PARAMETERS angstrom
-1.715 -2.165 4.310
1.083 -4.630 -1.895
2.866 0.169 1.225
! Formation enthalpy at 0 K in meV/atom: 647

(10)
! SrBeRhC2 (PBE-GGA, optimized geometry); values from VASP
&SYSTEM
  ibrav = 0, nat = 5, ntyp = 4
/
ATOMIC_SPECIES
Sr 87.62 Sr.upf
Rh 102.91 Rh.upf
Be 9.01 Be.upf
C 12.01 C.upf
ATOMIC_POSITIONS angstrom
Sr 0.000 2.467 0.000
Rh 1.896 2.467 1.896
Be 0.000 0.000 0.000
C 1.896 0.000 0.000
C 0.000 0.000 1.896
CELL_PARAMETERS angstrom
3.791 0.000 0.000
0.000 4.935 0.000
0.000 0.000 3.791
! Formation enthalpy at 0 K in meV/atom: 1794

(11)
! Ta2BeRhC (PBE-GGA, optimized geometry); values from VASP
&SYSTEM
  ibrav = 0, nat = 5, ntyp = 4
/
ATOMIC_SPECIES
Ta 180.95 Ta.upf
Be 9.01 Be.upf
C 12.01 C.upf
Rh 102.91 Rh.upf
ATOMIC_POSITIONS angstrom
Ta 0.000 0.000 2.319
Ta 2.319 0.000 0.000
Be 0.000 0.000 0.000
C 0.000 1.540 0.000
Rh 2.319 1.540 2.319
CELL_PARAMETERS angstrom
4.637 0.000 0.000
0.000 3.080 0.000
0.000 0.000 4.637
! Formation enthalpy at 0 K in meV/atom: 564

(12)
! UBeRhC (PBE-GGA, optimized geometry); values from VASP
&SYSTEM
  ibrav = 0, nat = 8, ntyp = 4
/
ATOMIC_SPECIES
C 12.01 C.upf
Be 9.01 Be.upf
Rh 102.91 Rh.upf
U 238.03 U.upf
ATOMIC_POSITIONS angstrom
C 1.858 0.000 6.978
C 0.000 1.858 0.911
Be 0.000 1.858 2.632
Be 1.858 0.000 5.257
Rh 1.858 1.858 3.945
Rh 0.000 0.000 3.945
U 1.858 0.000 1.315
U 0.000 1.858 6.574
CELL_PARAMETERS angstrom
3.716 0.000 0.000
0.000 3.716 0.000
0.000 0.000 7.889
! Formation enthalpy at 0 K in meV/atom: -241

The mass density results, record by record, are as follows: 8.2 9.5 14.7 9.8 13.2 5.2 5.7 6.2 7.3 5.2 12.2 11.0 g/cm3.